Cs2HgAuCl: relaxed, PBE.

a b c (Å): 5.0482 5.0482 15.9080
angles (deg): 90.00 90.00 90.00
With the nearest neighbours (Å) after each atom.
Fractional positions:
1 Cs 0.0000 0.5000 0.6794  1 Cl 3.45, 4 Au 3.70, 4 Hg 3.81
2 Cs 0.0000 0.5000 0.1148  5 Cl 3.47-3.57
3 Cs 0.5000 0.0000 0.8852  5 Cl 3.47-3.57
4 Cs 0.5000 0.0000 0.3206  1 Cl 3.45, 4 Au 3.70, 4 Hg 3.81
5 Hg 0.0000 0.0000 0.5000  4 Au 3.15
6 Hg 0.5000 0.5000 0.5000  4 Au 3.15
7 Au 0.5000 0.0000 0.6187  4 Hg 3.15
8 Au 0.0000 0.5000 0.3813  4 Hg 3.15
9 Cl 0.5000 0.0000 0.1035  6 Cs 3.45-3.57
10 Cl 0.0000 0.5000 0.8965  6 Cs 3.45-3.57

Properties
Offset from the most stable computed form ... 0 meV per atom
Calculated density ... 5.7 g/cm3
SG ... P4/nmm
Uncorrected formation energy ... -91 kJ/mol of atoms
Electronic total energy ... -23.647 eV for the cell shown



CeAlZnAu2: relaxed, PBE.

a b c (Å): 4.1975 4.1975 6.6043
angles (deg): 108.53 108.53 90.00
With the nearest neighbours (Å) after each atom.
Fractional positions:
1 Ce 0.0000 0.0000 0.0000  8 Au 3.27, 4 Al 3.62, 4 Zn 3.62
2 Al 0.2500 0.7500 0.5000  4 Au 2.62
3 Zn 0.7500 0.2500 0.5000  4 Au 2.62
4 Au 0.6171 0.6171 0.2341  2 Al 2.62, 2 Zn 2.62, 1 Au 2.76
5 Au 0.3829 0.3829 0.7659  2 Al 2.62, 2 Zn 2.62, 1 Au 2.76

Properties
Calculated density ... 10.0 g/cm3
SG ... I-4m2
Electronic total energy ... -20.273 eV for the cell shown



calculated density of number 1 (Cs2HgAuCl)? 5.7 g/cm3



Which value of electronic total energy does entry 1 give? -23.647 eV for the cell shown